# 1
VASP calculation (PBE) on a relaxed Dy3ZnRu crystal.

Cell lengths 5.781, 7.962, 10.948 Å; angles 87.97, 90.00, 90.00 degrees
Sites, in units of the cell vectors:
Dy (0.123, 0.973, 0.353)
Dy (0.877, 0.027, 0.647)
Dy (0.623, 0.027, 0.147)
Dy (0.377, 0.973, 0.853)
Dy (0.585, 0.739, 0.425)
Dy (0.415, 0.261, 0.575)
Dy (0.085, 0.261, 0.075)
Dy (0.915, 0.739, 0.925)
Dy (0.101, 0.621, 0.624)
Dy (0.899, 0.379, 0.376)
Dy (0.601, 0.379, 0.876)
Dy (0.399, 0.621, 0.124)
Zn (0.899, 0.677, 0.202)
Zn (0.101, 0.323, 0.798)
Zn (0.399, 0.323, 0.298)
Zn (0.601, 0.677, 0.702)
Ru (0.345, 0.914, 0.597)
Ru (0.655, 0.086, 0.403)
Ru (0.845, 0.086, 0.903)
Ru (0.155, 0.914, 0.097)

Summary:
Space-group type   P2_1/c (14)
Total magnetization   0.00 μB per atom
Polymorph energy (0 for the lowest one)   80 meV per atom
Formation enthalpy at 0 K   -266 meV/atom
DFT total energy   -5.14 eV/atom

# 2
VASP calculation (PBE) on a relaxed TlReBOs2 crystal.

Cell lengths 4.821, 4.821, 4.138 Å; angles 90.00, 90.00, 90.00 degrees
Sites, in units of the cell vectors:
Re (0.000, 0.000, 0.000)
Tl (0.500, 0.500, 0.500)
B (0.000, 0.000, 0.500)
Os (0.000, 0.500, 0.000)
Os (0.500, 0.000, 0.000)

Summary:
Space-group type   P4/mmm (123)
Total magnetization   0.00 μB per atom
Formation enthalpy at 0 K   1764 meV/atom
DFT total energy   -7.03 eV/atom

# 3
VASP calculation (PBE) on a relaxed Co2HgBiCl crystal.

Cell lengths 4.976, 5.669, 4.976 Å; angles 90.00, 90.00, 90.00 degrees
Last column: magnetic moment on the atom in μB.
Sites, in units of the cell vectors:
Cl (0.500, 0.500, 0.500)  0.08
Co (0.000, 0.000, 0.500)  2.16
Co (0.500, 0.000, 0.000)  2.09
Bi (0.000, 0.500, 0.000)  0.06
Hg (0.000, 0.000, 0.000)  -0.01

Summary:
Space-group type   P4/mmm (123)
Total magnetization   0.92 μB per atom
Formation energy from raw total energies   114.1 kJ/mol of atoms
DFT total energy   -2.87 eV/atom

# 4
VASP calculation (PBE) on a relaxed SrCd2AuO4 crystal.

Cell lengths 3.342, 6.291, 12.158 Å; angles 90.00, 90.00, 105.40 degrees
Sites, in units of the cell vectors:
Sr (0.170, 0.340, 0.750)
Sr (0.830, 0.660, 0.250)
Cd (0.372, 0.743, 0.528)
Cd (0.628, 0.257, 0.028)
Cd (0.628, 0.257, 0.472)
Cd (0.372, 0.743, 0.972)
Au (0.910, 0.819, 0.750)
Au (0.090, 0.181, 0.250)
O (0.243, 0.486, 0.117)
O (0.757, 0.514, 0.617)
O (0.757, 0.514, 0.883)
O (0.243, 0.486, 0.383)
O (0.000, 0.000, 0.500)
O (0.000, 0.000, 0.000)
O (0.515, 0.031, 0.750)
O (0.485, 0.969, 0.250)

Summary:
Space-group type   Cmcm (63)
Total magnetization   0.00 μB per atom
Formation energy from raw total energies   -95.5 kJ/mol of atoms
DFT total energy   -4.32 eV/atom

# 5
VASP calculation (PBE) on a relaxed Ba2Sn2I crystal.

Cell lengths 9.518, 9.518, 4.968 Å; angles 90.00, 90.00, 90.00 degrees
Sites, in units of the cell vectors:
I (0.000, 0.000, 0.000)
I (0.500, 0.500, 0.000)
Ba (0.315, 0.815, 0.000)
Ba (0.815, 0.685, 0.000)
Ba (0.685, 0.185, 0.000)
Ba (0.185, 0.315, 0.000)
Sn (0.101, 0.601, 0.500)
Sn (0.601, 0.899, 0.500)
Sn (0.899, 0.399, 0.500)
Sn (0.399, 0.101, 0.500)

Summary:
Space-group type   P4/mbm (127)
Total magnetization   0.00 μB per atom
Formation energy from raw total energies   -78.2 kJ/mol of atoms
DFT total energy   -3.49 eV/atom

# 6
VASP calculation (PBE) on a relaxed VTcGe2 crystal.

Cell lengths 2.946, 2.946, 8.093 Å; angles 79.51, 79.51, 60.00 degrees
Sites, in units of the cell vectors:
V (0.501, 0.501, 0.496)
Tc (0.666, 0.666, 0.003)
Ge (0.082, 0.082, 0.753)
Ge (0.251, 0.251, 0.247)

Summary:
Space-group type   R3m (160)
Total magnetization   0.00 μB per atom
Polymorph energy (0 for the lowest one)   30 meV per atom
Formation enthalpy at 0 K   -34 meV/atom
DFT total energy   -7.21 eV/atom

# 7
VASP calculation (PBE) on a relaxed Sb2MoPb crystal.

Cell lengths 4.886, 3.863, 5.549 Å; angles 69.55, 90.00, 90.00 degrees
Sites, in units of the cell vectors:
Mo (0.000, 0.315, 0.494)
Pb (0.500, 0.719, 0.686)
Sb (0.000, 0.024, 0.078)
Sb (0.500, 0.443, 0.241)

Summary:
Space-group type   Pm (6)
Total magnetization   0.00 μB per atom
Formation energy from raw total energies   41.4 kJ/mol of atoms
DFT total energy   -5.27 eV/atom

# 8
VASP calculation (PBE) on a relaxed Ba2LiIrO6 crystal.

Cell lengths 5.802, 5.802, 5.802 Å; angles 60.00, 60.00, 60.00 degrees
Last column: magnetic moment on the atom in μB.
Sites, in units of the cell vectors:
Ba (0.750, 0.750, 0.750)  0.02
Ba (0.250, 0.250, 0.250)  0.02
Li (0.500, 0.500, 0.500)  0.00
Ir (0.000, 0.000, 0.000)  0.79
O (0.235, 0.765, 0.765)  0.10
O (0.235, 0.765, 0.235)  0.10
O (0.235, 0.235, 0.765)  0.10
O (0.765, 0.765, 0.235)  0.10
O (0.765, 0.235, 0.235)  0.10
O (0.765, 0.235, 0.765)  0.10

Summary:
Space-group type   Fm-3m (225)
Total magnetization   0.17 μB per atom
Formation energy from raw total energies   -174.5 kJ/mol of atoms
DFT total energy   -6.25 eV/atom

# 9
VASP calculation (PBE) on a relaxed MgAg2Ir crystal.

Cell lengths 5.089, 5.089, 4.784 Å; angles 79.18, 79.18, 33.60 degrees
Last column: magnetic moment on the atom in μB.
Sites, in units of the cell vectors:
Ag (0.006, 0.006, 0.995)  -0.01
Ag (0.494, 0.494, 0.505)  -0.01
Ir (0.750, 0.750, 0.750)  -0.18
Mg (0.250, 0.250, 0.250)  0.00

Summary:
Space-group type   C2/m (12)
Total magnetization   0.05 μB per atom
Formation enthalpy at 0 K   41 meV/atom
DFT total energy   -4.00 eV/atom

# 10
VASP calculation (PBE) on a relaxed Sm6Sn2Ge crystal.

Cell lengths 4.365, 8.440, 8.440 Å; angles 120.00, 90.00, 90.00 degrees
Last column: magnetic moment on the atom in μB.
Sites, in units of the cell vectors:
Sm (0.500, 0.597, 0.000)  0.42
Sm (0.500, 0.403, 0.403)  0.42
Sm (0.500, 0.000, 0.597)  0.42
Sm (0.000, 0.250, 0.000)  0.40
Sm (0.000, 0.750, 0.750)  0.40
Sm (0.000, 0.000, 0.250)  0.40
Sn (0.000, 0.333, 0.667)  -0.02
Sn (0.000, 0.667, 0.333)  -0.02
Ge (0.500, 0.000, 0.000)  -0.03

Summary:
Space-group type   P-62m (189)
Total magnetization   0.60 μB per atom
Formation enthalpy at 0 K   -604 meV/atom
DFT total energy   -5.15 eV/atom

# 11
VASP calculation (PBE) on a relaxed NdTlPbBr6 crystal.

Cell lengths 7.741, 7.741, 14.256 Å; angles 90.00, 90.00, 120.00 degrees
Sites, in units of the cell vectors:
Nd (0.667, 0.333, 0.250)
Nd (0.333, 0.667, 0.750)
Tl (0.000, 0.000, 0.000)
Tl (0.000, 0.000, 0.500)
Pb (0.333, 0.667, 0.250)
Pb (0.667, 0.333, 0.750)
Br (0.644, 0.630, 0.133)
Br (0.986, 0.356, 0.133)
Br (0.356, 0.986, 0.633)
Br (0.014, 0.644, 0.867)
Br (0.370, 0.356, 0.367)
Br (0.986, 0.630, 0.367)
Br (0.630, 0.986, 0.867)
Br (0.644, 0.014, 0.367)
Br (0.014, 0.370, 0.633)
Br (0.370, 0.014, 0.133)
Br (0.630, 0.644, 0.633)
Br (0.356, 0.370, 0.867)

Summary:
Space-group type   P-31c (163)
Total magnetization   0.00 μB per atom
Formation energy from raw total energies   -129.9 kJ/mol of atoms
DFT total energy   -3.67 eV/atom

# 12
VASP calculation (PBE) on a relaxed HoCd2SbO6 crystal.

Cell lengths 5.651, 5.651, 5.890 Å; angles 61.33, 61.33, 60.00 degrees
Sites, in units of the cell vectors:
Ho (0.813, 0.813, 0.560)
Cd (0.542, 0.542, 0.375)
Cd (0.037, 0.037, 0.890)
Sb (0.319, 0.319, 0.044)
O (0.570, 0.195, 0.262)
O (0.195, 0.973, 0.262)
O (0.973, 0.570, 0.262)
O (0.438, 0.668, 0.787)
O (0.668, 0.106, 0.787)
O (0.106, 0.438, 0.787)

Summary:
Space-group type   R3 (146)
Total magnetization   0.00 μB per atom
Formation energy from raw total energies   -180.6 kJ/mol of atoms
DFT total energy   -5.90 eV/atom

# 13
VASP calculation (PBE) on a relaxed TmScAg4 crystal.

Cell lengths 5.604, 5.604, 5.604 Å; angles 60.00, 60.00, 60.00 degrees
Sites, in units of the cell vectors:
Sc (0.250, 0.250, 0.250)
Tm (0.000, 0.000, 0.000)
Ag (0.625, 0.625, 0.126)
Ag (0.625, 0.126, 0.625)
Ag (0.625, 0.625, 0.625)
Ag (0.126, 0.625, 0.625)

Summary:
Space-group type   F-43m (216)
Total magnetization   0.00 μB per atom
Polymorph energy (0 for the lowest one)   182 meV per atom
Formation enthalpy at 0 K   -125 meV/atom
DFT total energy   -3.83 eV/atom

# 14
VASP calculation (PBE) on a relaxed BRhN2 crystal.

Cell lengths 5.061, 5.061, 5.061 Å; angles 37.33, 37.33, 37.33 degrees
Sites, in units of the cell vectors:
B (0.000, 0.000, 0.000)
Rh (0.500, 0.500, 0.500)
N (0.905, 0.905, 0.905)
N (0.095, 0.095, 0.095)

Summary:
Space-group type   R-3m (166)
Total magnetization   0.00 μB per atom
Formation energy from raw total energies   7.0 kJ/mol of atoms
DFT total energy   -7.60 eV/atom

# 15
VASP calculation (PBE) on a relaxed BeCuPb2O6 crystal.

Cell lengths 5.184, 5.376, 6.063 Å; angles 62.12, 63.12, 60.44 degrees
Last column: magnetic moment on the atom in μB.
Sites, in units of the cell vectors:
Be (0.264, 0.253, 0.222)  0.00
Cu (0.812, 0.842, 0.537)  0.60
Pb (0.527, 0.519, 0.448)  -0.01
Pb (0.028, 0.025, 0.928)  -0.01
O (0.579, 0.203, 0.253)  0.06
O (0.205, 0.966, 0.256)  0.06
O (0.982, 0.562, 0.212)  0.01
O (0.458, 0.729, 0.726)  0.15
O (0.720, 0.101, 0.734)  0.08
O (0.087, 0.462, 0.700)  0.09

Summary:
Space-group type   P1 (1)
Total magnetization   0.11 μB per atom
Formation energy from raw total energies   -98.2 kJ/mol of atoms
DFT total energy   -5.52 eV/atom

# 16
VASP calculation (PBE) on a relaxed Na3FeBi crystal.

Cell lengths 5.950, 5.950, 5.950 Å; angles 90.00, 90.00, 90.00 degrees
Last column: magnetic moment on the atom in μB.
Sites, in units of the cell vectors:
Na (0.000, 0.500, 0.000)  0.00
Na (0.000, 0.000, 0.500)  0.00
Na (0.500, 0.000, 0.000)  0.01
Bi (0.000, 0.000, 0.000)  0.20
Fe (0.500, 0.500, 0.500)  3.40

Summary:
Space-group type   Pm-3m (221)
Total magnetization   0.80 μB per atom
Polymorph energy (0 for the lowest one)   0 meV per atom
Formation enthalpy at 0 K   675 meV/atom
DFT total energy   -2.58 eV/atom

# 17
VASP calculation (PBE) on a relaxed Tb12DyY6 crystal.

Cell lengths 8.834, 8.834, 8.834 Å; angles 98.40, 98.40, 98.40 degrees
Sites, in units of the cell vectors:
Tb (0.882, 0.118, 0.500)
Tb (0.816, 0.530, 0.530)
Tb (0.530, 0.530, 0.816)
Tb (0.470, 0.184, 0.470)
Tb (0.470, 0.470, 0.184)
Tb (0.184, 0.470, 0.470)
Tb (0.118, 0.500, 0.882)
Tb (0.500, 0.882, 0.118)
Tb (0.118, 0.882, 0.500)
Tb (0.882, 0.500, 0.118)
Tb (0.500, 0.118, 0.882)
Tb (0.530, 0.816, 0.530)
Dy (0.000, 0.000, 0.000)
Y (0.745, 0.202, 0.202)
Y (0.202, 0.202, 0.745)
Y (0.202, 0.745, 0.202)
Y (0.798, 0.798, 0.255)
Y (0.255, 0.798, 0.798)
Y (0.798, 0.255, 0.798)

Summary:
Space-group type   R-3m (166)
Total magnetization   0.00 μB per atom
Polymorph energy (0 for the lowest one)   245 meV per atom
Formation enthalpy at 0 K   456 meV/atom
DFT total energy   -4.75 eV/atom

# 18
VASP calculation (PBE) on a relaxed AlZnBr crystal.

Cell lengths 3.879, 3.879, 5.437 Å; angles 90.00, 90.00, 120.00 degrees
Sites, in units of the cell vectors:
Zn (0.333, 0.667, 0.721)
Al (0.000, 0.000, 0.969)
Br (0.667, 0.333, 0.310)

Summary:
Space-group type   P3m1 (156)
Total magnetization   0.00 μB per atom
Polymorph energy (0 for the lowest one)   0 meV per atom
Formation energy from raw total energies   -0.7 kJ/mol of atoms
DFT total energy   -2.24 eV/atom

# 19
VASP calculation (PBE) on a relaxed BaLa2V crystal.

Cell lengths 8.683, 8.683, 7.312 Å; angles 53.58, 53.58, 90.00 degrees
Last column: magnetic moment on the atom in μB.
Sites, in units of the cell vectors:
La (0.487, 0.125, 0.250)  0.08
La (0.263, 0.625, 0.250)  0.08
La (0.375, 0.513, 0.750)  0.08
La (0.875, 0.737, 0.750)  0.08
Ba (0.000, 0.000, 0.000)  0.01
Ba (0.750, 0.250, 0.500)  0.01
V (0.500, 0.500, 0.000)  0.66
V (0.250, 0.750, 0.500)  0.66

Summary:
Space-group type   I-42d (122)
Total magnetization   0.23 μB per atom
Polymorph energy (0 for the lowest one)   148 meV per atom
Formation enthalpy at 0 K   691 meV/atom
DFT total energy   -4.53 eV/atom

# 20
VASP calculation (PBE) on a relaxed HgMo2Os crystal.

Cell lengths 4.977, 4.977, 4.948 Å; angles 79.23, 79.23, 33.57 degrees
Sites, in units of the cell vectors:
Hg (0.248, 0.248, 0.247)
Mo (0.010, 0.010, 0.975)
Mo (0.756, 0.756, 0.740)
Os (0.487, 0.487, 0.537)

Summary:
Space-group type   Cm (8)
Total magnetization   0.00 μB per atom
Formation enthalpy at 0 K   466 meV/atom
DFT total energy   -7.83 eV/atom